DFT (PBE-GGA) results for an optimized crystal structure of Pm4Tl2InHg.

Results
The density of states at the Fermi level is 1.217 states/eV/atom. As for the energy of formation from the pure elements: -41.7 kJ per mole of atoms.

Cell lengths 5.4565, 5.4565, 26.7460 Å; angles 90.00, 90.00, 120.00 degrees
Space group R-3m (No. 166, hexagonal axes)
Inequivalent atoms, fractional coordinates:
Pm (0.0000, 0.0000, 0.1238)
Pm (0.0000, 0.0000, 0.3739)
Tl (0.0000, 0.0000, 0.2505)
In (0.0000, 0.0000, 0.5000)
Hg (0.0000, 0.0000, 0.0000)



DFT (PBE-GGA) results for an optimized crystal structure of AlSn3.

Results
The density of states at the Fermi level is 0.464 states/eV/atom. As for the energy of formation from the pure elements: 12.6 kJ per mole of atoms.

Cell lengths 3.348, 10.312, 5.874 Å; angles 90.00, 90.00, 90.00 degrees
Space group Imm2 (No. 44)
Inequivalent atoms, fractional coordinates:
Al (0.000, 0.000, 0.000)
Sn (0.000, 0.282, 0.671)
Sn (0.000, 0.500, 0.076)



DFT (PBE-GGA) results for an optimized crystal structure of Ho2Hg3Pd2.

Results
The density of states at the Fermi level is 0.407 states/eV/atom. As for the energy of formation from the pure elements: -53.2 kJ per mole of atoms.

Cell lengths 10.355, 3.947, 7.695 Å; angles 90.00, 94.04, 90.00 degrees
Space group C2/m (No. 12)
Inequivalent atoms, fractional coordinates:
Ho (0.118, 0.000, 0.345)
Hg (0.000, 0.500, 0.000)
Hg (0.201, 0.000, 0.857)
Pd (0.097, 0.500, 0.628)



DFT (PBE-GGA) results for an optimized crystal structure of Ca2NiGe3Pt4.

Results
The density of states at the Fermi level is 0.678 states/eV/atom. As for the energy of formation from the pure elements: -69.7 kJ per mole of atoms.

Cell lengths 4.120, 4.120, 10.890 Å; angles 90.00, 90.00, 90.00 degrees
Space group P-4m2 (No. 115)
Inequivalent atoms, fractional coordinates:
Ca (0.000, 0.500, 0.241)
Ni (0.500, 0.500, 0.000)
Ge (0.000, 0.000, 0.000)
Ge (0.000, 0.500, 0.639)
Pt (0.000, 0.000, 0.500)
Pt (0.000, 0.500, 0.863)
Pt (0.500, 0.500, 0.500)



DFT (PBE-GGA) results for an optimized crystal structure of NpSi2Au2.

Results
The density of states at the Fermi level is 2.171 states/eV/atom. The energy relative to the elements, uncorrected is -1.2 eV per formula unit.

Cell lengths 4.225, 4.225, 10.465 Å; angles 90.00, 90.00, 90.00 degrees
Space group I4/mmm (No. 139)
Inequivalent atoms, fractional coordinates:
Np (0.000, 0.000, 0.000)
Si (0.000, 0.000, 0.390)
Au (0.000, 0.500, 0.250)